This record from the Alexandria database describes a relaxed structure of Cs2PtRh. The functional is PBE.

The structure in POSCAR format:
```
Cs2PtRh
1.0
-1.6113 -4.6181 -2.7170
-5.3748 -1.5532 0.0666
-3.0916 0.4217 -4.6443
Rh Pt Cs
1 1 2
direct
0.0000 0.0000 0.0000
0.5000 0.5000 0.5000
0.2500 0.2500 0.2500
0.7500 0.7500 0.7500
```

Results
DFT total energy	-2.802	eV per atom
symmetry	Fm-3m (225)
M_tot	0.998	μB/cell
energy above the lowest structure with this stoichiometry	55.3	kJ per mole of atoms
volume	123.9	Å³/cell

---

This record from the Alexandria database describes a relaxed structure of CsPt3Rh. The functional is PBE.

The structure in POSCAR format:
```
CsPt3Rh
1.0
5.1059 0.0000 0.0000
0.0000 5.1059 0.0000
0.0000 0.0000 5.1059
Rh Cs Pt
1 1 3
direct
0.5000 0.5000 0.5000
0.0000 0.0000 0.0000
0.0000 0.0000 0.5000
0.0000 0.5000 0.0000
0.5000 0.0000 0.0000
```

Results
DFT total energy	-2.795	eV per atom
symmetry	Pm-3m (221)
M_tot	1.165	μB/cell
volume	133.1	Å³/cell

---

This record from the Alexandria database describes a relaxed structure of Cs2PtRhS4. The functional is PBE.

The structure in POSCAR format:
```
Cs2PtRhS4
1.0
-2.4295 2.5572 4.5469
-3.0370 -5.0922 4.8828
9.3255 0.7030 8.2291
Cs Rh Pt S
4 2 2 8
direct
0.9298 0.5000 0.1404
0.5702 0.5000 0.8596
0.8202 0.0000 0.3596
0.1798 0.0000 0.6404
0.7500 0.5000 0.5000
0.0000 0.0000 0.0000
0.2500 0.5000 0.5000
0.5000 0.0000 0.0000
0.4697 0.6812 0.3952
0.8490 0.6812 0.6048
0.6149 0.1812 0.1048
0.1351 0.3188 0.3952
0.9010 0.8188 0.8952
0.5462 0.3188 0.6048
0.2038 0.1812 0.8952
0.2803 0.8188 0.1048
```

Results
energy relative to the elements, uncorrected	-443	kJ/mol of formula units
DFT total energy	-4.525	eV per atom
symmetry	Fddd (70)
M_tot	0.000	μB/cell
volume	496.7	Å³/cell